Tl2Sb2I | PBE | relaxed

Cell and atoms, written as CIF:
```
data_Tl2Sb2I
_chemical_formula_sum 'Tl4 Sb4 I2'
_cell_length_a 10.413
_cell_length_b 10.413
_cell_length_c 3.295
_cell_angle_alpha 90.00
_cell_angle_beta 90.00
_cell_angle_gamma 90.00
_space_group_name_H-M_alt 'P 4/m b m'
_space_group_IT_number 127
_space_group_name_Hall '-P 4 2ab'
loop_
_atom_site_label
_atom_site_type_symbol
_atom_site_fract_x
_atom_site_fract_y
_atom_site_fract_z
Tl1 Tl 0.188 0.312 0.000
Sb1 Sb 0.096 0.596 0.500
I1 I 0.000 0.000 0.000
```

Formation energy from raw total energies, eV per atom: -0.02